VASP calculation (PBE) on a relaxed structure of TbNdPbO2.

Cell and atoms, written as extended XYZ:
```
5
Lattice="3.927 0.000 0.000 0.000 3.927 0.000 -1.963 -1.963 7.220" Properties=species:S:1:pos:R:3 pbc="T T T"
Tb 0.000 0.000 2.473
Nd 1.963 1.963 4.805
Pb 1.963 1.963 0.038
O 0.000 1.963 3.562
O 1.963 0.000 3.562
```

Properties
The value obtained for the density of states at the Fermi level is 2.29 states/eV/cell. The calculation puts the uncorrected formation energy at -2.487 eV per atom. Its crystal system is tetragonal. The total energy comes out at -7.09 eV per atom. For the calculated density, the calculation gives 8.09 g cm⁻³.